DFT (PBE+U) results for crystalline FeCoBi2O6 at its relaxed geometry.

Summary:
Total DFT energy (no corrections) in eV/atom: -6.017

Geometry as CIF:
```
data_FeCoBi2O6
_cell_length_a 3.761
_cell_length_b 3.761
_cell_length_c 9.802
_cell_angle_alpha 90.00
_cell_angle_beta 90.00
_cell_angle_gamma 90.00
_symmetry_space_group_name_H-M 'P 4 m m'
_symmetry_Int_Tables_number 99
loop_
_symmetry_equiv_pos_as_xyz
'x,y,z'
'-y,x,z'
'-x,-y,z'
'y,-x,z'
'-x,y,z'
'y,x,z'
'x,-y,z'
'-y,-x,z'
loop_
_atom_site_label
_atom_site_type_symbol
_atom_site_fract_x
_atom_site_fract_y
_atom_site_fract_z
Fe1 Fe 0.000 0.000 0.000
Co1 Co 0.000 0.000 0.497
Bi1 Bi 0.500 0.500 0.215
Bi2 Bi 0.500 0.500 0.708
O1 O 0.000 0.000 0.317
O2 O 0.000 0.000 0.814
O3 O 0.000 0.500 0.080
O4 O 0.000 0.500 0.574
```